(1)
## AgRu2Rh (PBE)

Data for a geometry-optimized AgRu2Rh structure.

Properties
The magnetization comes out at 0.000 μB per cell. The density of states at the Fermi level is 5.21 states/eV/cell. Its formation energy is 0.361 eV per atom. The space group is Cm. For the final energy, the calculation gives -27.31 eV per formula unit. The calculation puts the calculated volume at 14.85 Å³/atom. As for the energy above the most stable polymorph in this dataset: 13.9 kJ per mole of atoms.

Structure (POSCAR):
```
AgRu2Rh
1.0
-1.876 0.093 4.375
-3.755 -1.021 2.743
1.319 -4.412 1.493
Rh Ru Ag
1 2 1
direct
0.743 0.743 0.758 Rh
0.258 0.258 0.224 Ru
0.000 0.000 0.012 Ru
0.499 0.499 0.506 Ag
```

(2)
## AgRu2Rh (PBE)

Data for a geometry-optimized AgRu2Rh structure.

Properties
The magnetization comes out at 0.001 μB per cell. The density of states at the Fermi level is 5.98 states/eV/cell. Its formation energy is 0.217 eV per atom. The space group is R3m. For the final energy, the calculation gives -27.89 eV per formula unit. The calculation puts the calculated volume at 14.93 Å³/atom. As for the energy above the most stable polymorph in this dataset: 0.0 kJ per mole of atoms.

Structure (POSCAR):
```
AgRu2Rh
1.0
-1.731 0.477 -9.077
-4.322 0.267 -8.177
-3.097 2.728 -8.281
Ag Ru Rh
1 2 1
direct
0.500 0.500 0.500 Ag
0.256 0.256 0.256 Ru
0.999 0.999 0.999 Ru
0.745 0.745 0.745 Rh
```

(3)
## AgRuRh (PBE)

Data for a geometry-optimized AgRuRh structure.

Properties
The magnetization comes out at 1.177 μB per cell. The density of states at the Fermi level is 3.50 states/eV/cell. Its formation energy is 0.417 eV per atom. The space group is Fmm2. For the final energy, the calculation gives -18.23 eV per formula unit. The calculation puts the calculated volume at 15.61 Å³/atom. As for the energy above the most stable polymorph in this dataset: 16.7 kJ per mole of atoms.

Structure (POSCAR):
```
AgRuRh
1.0
-4.495 -2.548 -5.520
-3.851 -4.741 -4.036
-2.412 1.199 0.414
Ru Rh Ag
1 1 1
direct
0.674 0.674 0.326 Ru
0.326 0.326 0.674 Rh
0.000 0.000 0.000 Ag
```

Look up the magnetization of the third one.
1.177 μB per cell

Repeat the first record exactly.
## AgRu2Rh (PBE)

Data for a geometry-optimized AgRu2Rh structure.

Properties
The magnetization comes out at 0.000 μB per cell. The density of states at the Fermi level is 5.21 states/eV/cell. Its formation energy is 0.361 eV per atom. The space group is Cm. For the final energy, the calculation gives -27.31 eV per formula unit. The calculation puts the calculated volume at 14.85 Å³/atom. As for the energy above the most stable polymorph in this dataset: 13.9 kJ per mole of atoms.

Structure (POSCAR):
```
AgRu2Rh
1.0
-1.876 0.093 4.375
-3.755 -1.021 2.743
1.319 -4.412 1.493
Rh Ru Ag
1 2 1
direct
0.743 0.743 0.758 Rh
0.258 0.258 0.224 Ru
0.000 0.000 0.012 Ru
0.499 0.499 0.506 Ag
```